A plane-wave DFT calculation with PBE was carried out for a relaxed Nd2InSe3 crystal.

abc: 3.764 5.191 16.782
angles: 90.00 90.00 90.00
Space group Immm (No. 71)
Asymmetric unit:
Nd 0.000 0.000 0.148 [4 per cell]
In 0.000 0.000 0.500 [2 per cell]
Se 0.000 0.000 0.323 [4 per cell]
Se 0.000 0.500 0.500 [2 per cell]

## Properties
Magnetization, μB per formula unit: 0.000
E_form (uncorrected), eV per atom: -1.21